## BeFeSb2 (PBE)

Data for a geometry-optimized BeFeSb2 structure.

Values from the calculation:
The total magnetization is 0.005 Bohr magnetons per cell. The value obtained for the calculated total energy is -40.25 eV per cell. The formation energy without anion corrections is 0.0770 eV per atom. For the density of states at the Fermi level, the calculation gives 4.04 states/eV/f.u.

Unit cell a=6.4824 b=3.7485 c=6.5742 alpha=90.00 beta=110.17 gamma=90.00
Last column: nearest neighbours and their distance in Å.
Space group Cm (No. 8)
Asymmetric unit:
Be 0.0000 0.0000 0.0000 x2  3 Fe 2.16
Fe 0.1674 0.5000 0.0028 x2  3 Be 2.16
Sb 0.2426 0.0000 0.7422 x2  3 Be 2.68-2.69, 3 Fe 2.69-2.70
Sb 0.4256 0.0000 0.2632 x2  3 Fe 2.69-2.70, 3 Be 2.70